VASP calculation (PBE) on Tm2CuSe3 after structural relaxation.

The structure in POSCAR format:
```
Tm2CuSe3
1.0
1.9232 -6.5522 0.0000
1.9232 6.5522 0.0000
0.0000 0.0000 10.3537
Cu Se Tm
2 6 4
Cartesian
1.9232 -0.3008 2.5884
1.9232 0.3008 7.7652
1.9232 -1.9236 0.7502
1.9232 -5.2293 2.5884
1.9232 -1.9236 4.4266
1.9232 1.9236 5.9270
1.9232 5.2293 7.7652
1.9232 1.9236 9.6034
0.0000 0.0000 0.0000
1.9232 3.5966 2.5884
0.0000 0.0000 5.1768
1.9232 -3.5966 7.7652
```

Summary:
The value obtained for the total DFT energy (no corrections) is -62.1 eV for the cell shown. Its space-group type is No. 63. As for the crystal system: orthorhombic.

VASP calculation (PBE) on YPaAl after structural relaxation.

The structure in POSCAR format:
```
YPaAl
1.0
0.2889 -4.4879 -1.9971
-4.1018 -2.5772 -0.8638
-1.5144 -0.7377 -4.6233
Al Pa Y
1 1 1
Cartesian
0.0000 0.0000 0.0000
-1.3318 -1.9507 -1.8711
-3.9955 -5.8521 -5.6132
```

Summary:
Its space-group type is No. 216. As for the crystal system: cubic. As for the energy above the most stable polymorph in this dataset: 0.00 kcal/mol of atoms.

VASP calculation (PBE) on TbDy2In3PtAu2 after structural relaxation.

The structure in POSCAR format:
```
TbDy2In3PtAu2
1.0
3.9541 0.0000 0.0000
0.0000 6.6945 3.8636
0.0000 -6.6945 3.8636
Au Dy In Pt Tb
2 2 3 1 1
Cartesian
1.9771 2.2332 3.8640
1.9771 -2.2332 3.8640
0.0000 4.0100 2.3143
0.0000 -4.0100 2.3143
1.9771 4.9767 4.8540
1.9771 0.0000 5.7457
1.9771 -4.9767 4.8540
0.0000 0.0000 7.7258
0.0000 0.0000 3.0993
```

Summary:
The value obtained for the total DFT energy (no corrections) is -42.2 eV for the cell shown. Its space-group type is No. 38. As for the crystal system: orthorhombic.

VASP calculation (PBE) on LaPr2In3AgIr2 after structural relaxation.

The structure in POSCAR format:
```
LaPr2In3AgIr2
1.0
-0.5721 0.2794 4.1169
4.2942 -6.3187 1.0256
3.3977 6.9190 0.0026
Ag In Ir La Pr
1 3 2 1 2
Cartesian
7.6611 0.5979 1.0241
2.9211 -4.4996 2.8190
1.6501 0.2908 2.3172
2.2624 5.2282 2.0673
3.7350 -1.6935 2.7417
3.4458 2.5780 2.4116
4.4497 0.3473 0.5948
1.7926 -2.6306 0.4276
1.4194 2.8813 0.0017
```

Summary:
The value obtained for the total DFT energy (no corrections) is -48.4 eV for the cell shown. Its space-group type is No. 38. As for the crystal system: orthorhombic.